Entry 1:
Below is Y4Cd3Hg after structural relaxation, with properties calculated at the PBE level.

The structure belongs to space group P4/mmm (No. 123); the cell edges are 3.747, 3.747 and 14.974 Å and the angles 90.00°, 90.00° and 90.00°. The inequivalent atoms are Y at (0.000, 0.000, 0.123), Y at (0.000, 0.000, 0.374), Cd at (0.500, 0.500, 0.250), Cd at (0.500, 0.500, 0.500) and Hg at (0.500, 0.500, 0.000).

As for the energy: -4.006 eV/atom. For the density of states at the Fermi level, the calculation gives 8.22 states/eV/f.u. The value obtained for the calculated density is 7.058 g cm⁻³. The calculation puts the energy of formation from the pure elements at -0.39 eV per atom.

---

Entry 2:
Below is YCd2Hg2 after structural relaxation, with properties calculated at the PBE level.

The structure belongs to space group P2_1/m (No. 11); the cell edges are 5.109, 3.486 and 13.497 Å and the angles 90.00°, 90.04° and 90.00°. The inequivalent atoms are Y at (0.249, 0.250, 0.253), Cd at (0.250, 0.750, 0.464), Cd at (0.251, 0.250, 0.858), Hg at (0.249, 0.750, 0.047) and Hg at (0.250, 0.250, 0.650).

As for the energy: -2.008 eV/atom. For the density of states at the Fermi level, the calculation gives 1.55 states/eV/f.u. The value obtained for the calculated density is 9.877 g cm⁻³. For the energy above the most stable polymorph in this dataset, the calculation gives 41 meV/atom. The calculation puts the energy of formation from the pure elements at -0.23 eV per atom.

---

Entry 3:
Below is Y3CdHg5 after structural relaxation, with properties calculated at the PBE level.

The structure belongs to space group P6_3/mcm (No. 193); the cell edges are 9.0072, 9.0072 and 6.2839 Å and the angles 90.00°, 90.00° and 120.00°. The inequivalent atoms are Y at (0.0000, 0.3472, 0.2500), Cd at (0.0000, 0.0000, 0.0000), Hg at (0.0000, 0.3174, 0.7500) and Hg at (0.3333, 0.6667, 0.0000).

As for the energy: -2.850 eV/atom. For the density of states at the Fermi level, the calculation gives 5.44 states/eV/f.u. The value obtained for the calculated density is 10.396 g cm⁻³. The calculation puts the energy of formation from the pure elements at -0.43 eV per atom.

---

Entry 4:
Below is YCd4Hg2 after structural relaxation, with properties calculated at the PBE level.

The structure belongs to space group P-1 (No. 2); the cell edges are 5.549, 5.873 and 6.282 Å and the angles 103.98°, 100.37° and 111.46°. The inequivalent atoms are Y at (0.000, 0.000, 0.000), Cd at (0.030, 0.586, 0.272), Cd at (0.500, 0.500, 0.000), Cd at (0.500, 0.500, 0.500) and Hg at (0.417, 0.973, 0.727).

As for the energy: -1.624 eV/atom. For the density of states at the Fermi level, the calculation gives 4.15 states/eV/f.u. The value obtained for the calculated density is 8.840 g cm⁻³. For the energy above the most stable polymorph in this dataset, the calculation gives 63 meV/atom. The calculation puts the energy of formation from the pure elements at -0.09 eV per atom.

---

Entry 5:
Below is YCd2Hg6 after structural relaxation, with properties calculated at the PBE level.

The structure belongs to space group C2/m (No. 12); the cell edges are 9.835, 5.389 and 9.647 Å and the angles 90.00°, 120.56° and 90.00°. The inequivalent atoms are Y at (0.000, 0.000, 0.000), Cd at (0.153, 0.500, 0.308), Hg at (0.010, 0.000, 0.345), Hg at (0.166, 0.500, 0.654) and Hg at (0.176, 0.500, 0.000).

As for the energy: -1.254 eV/atom. For the density of states at the Fermi level, the calculation gives 3.78 states/eV/f.u. The value obtained for the calculated density is 11.444 g cm⁻³. For the energy above the most stable polymorph in this dataset, the calculation gives 4 meV/atom. The calculation puts the energy of formation from the pure elements at -0.13 eV per atom.

---

Entry 6:
Below is Y4CdHg after structural relaxation, with properties calculated at the PBE level.

The structure belongs to space group P4/mmm (No. 123); the cell edges are 5.123, 5.123 and 7.292 Å and the angles 90.00°, 90.00° and 90.00°. The inequivalent atoms are Y at (0.000, 0.500, 0.248), Cd at (0.000, 0.000, 0.500) and Hg at (0.500, 0.500, 0.000).

As for the energy: -4.554 eV/atom. For the density of states at the Fermi level, the calculation gives 7.35 states/eV/f.u. The value obtained for the calculated density is 5.801 g cm⁻³. For the energy above the most stable polymorph in this dataset, the calculation gives 230 meV/atom. The calculation puts the energy of formation from the pure elements at -0.04 eV per atom.

---

Entry 7:
Below is Y5CdHg6 after structural relaxation, with properties calculated at the PBE level.

The structure belongs to space group Cmmm (No. 65); the cell edges are 5.230, 15.569 and 7.429 Å and the angles 90.00°, 90.00° and 90.00°. The inequivalent atoms are Y at (0.000, 0.000, 0.000), Y at (0.000, 0.327, 0.000), Y at (0.000, 0.344, 0.500), Cd at (0.000, 0.000, 0.500), Hg at (0.000, 0.167, 0.260) and Hg at (0.000, 0.500, 0.235).

As for the energy: -3.384 eV/atom. For the density of states at the Fermi level, the calculation gives 8.79 states/eV/f.u. The value obtained for the calculated density is 9.665 g cm⁻³. The calculation puts the energy of formation from the pure elements at -0.46 eV per atom.

---

Entry 8:
Below is YCd6Hg12 after structural relaxation, with properties calculated at the PBE level.

The structure belongs to space group R-3 (No. 148, hexagonal axes); the cell edges are 13.4639, 13.4639 and 9.4597 Å and the angles 90.00°, 90.00° and 120.00°. The inequivalent atoms are Y at (0.0000, 0.0000, 0.0000), Cd at (0.0210, 0.8737, 0.7143), Hg at (0.0496, 0.2513, 0.9520) and Hg at (0.0525, 0.7897, 0.4256).

As for the energy: -0.867 eV/atom. For the density of states at the Fermi level, the calculation gives 5.92 states/eV/f.u. The value obtained for the calculated density is 10.635 g cm⁻³. For the energy above the most stable polymorph in this dataset, the calculation gives 0 meV/atom. The calculation puts the energy of formation from the pure elements at -0.05 eV per atom.

---

Entry 9:
Below is YCd17Hg after structural relaxation, with properties calculated at the PBE level.

The structure belongs to space group R3m (No. 160, hexagonal axes); the cell edges are 10.0160, 10.0160 and 15.5673 Å and the angles 90.00°, 90.00° and 120.00°. The inequivalent atoms are Y at (0.0000, 0.0000, 0.0000), Cd at (0.0000, 0.0000, 0.2197), Cd at (0.0000, 0.0000, 0.4051), Cd at (0.0002, 0.3071, 0.3240), Cd at (0.1824, 0.3648, 0.8006), Cd at (0.1881, 0.3763, 0.1654), Cd at (0.2023, 0.4045, 0.5085) and Hg at (0.0000, 0.0000, 0.6813).

As for the energy: -1.199 eV/atom. For the density of states at the Fermi level, the calculation gives 5.43 states/eV/f.u. The value obtained for the calculated density is 8.105 g cm⁻³. The calculation puts the energy of formation from the pure elements at -0.02 eV per atom.

---

Entry 10:
Below is Y3CdHg3 after structural relaxation, with properties calculated at the PBE level.

The structure belongs to space group C2/m (No. 12); the cell edges are 10.231, 10.252 and 7.175 Å and the angles 90.00°, 90.43° and 90.00°. The inequivalent atoms are Y at (0.069, 0.000, 0.249), Y at (0.246, 0.202, 0.752), Cd at (0.142, 0.500, 0.944), Hg at (0.000, 0.241, 0.000), Hg at (0.000, 0.241, 0.500) and Hg at (0.159, 0.500, 0.539).

As for the energy: -3.361 eV/atom. For the density of states at the Fermi level, the calculation gives 7.53 states/eV/f.u. The value obtained for the calculated density is 8.658 g cm⁻³. The calculation puts the energy of formation from the pure elements at -0.33 eV per atom.

---

Please write out number 3 again, unchanged.
Below is Y3CdHg5 after structural relaxation, with properties calculated at the PBE level.

The structure belongs to space group P6_3/mcm (No. 193); the cell edges are 9.0072, 9.0072 and 6.2839 Å and the angles 90.00°, 90.00° and 120.00°. The inequivalent atoms are Y at (0.0000, 0.3472, 0.2500), Cd at (0.0000, 0.0000, 0.0000), Hg at (0.0000, 0.3174, 0.7500) and Hg at (0.3333, 0.6667, 0.0000).

As for the energy: -2.850 eV/atom. For the density of states at the Fermi level, the calculation gives 5.44 states/eV/f.u. The value obtained for the calculated density is 10.396 g cm⁻³. The calculation puts the energy of formation from the pure elements at -0.43 eV per atom.